Entry from Alexandria via LeMat-Bulk: an optimized crystal structure of Sr6HgIr (PBE).

Cell: 7.5719 7.5719 14.5449 Å, 90.00 90.00 120.00°
Last column: nearest neighbours and their distance in Å.
Space group P-31c (No. 163)
Asymmetric unit:
Sr 0.0103 0.3209 0.1179 (multiplicity 12)  1 Ir 2.94, 1 Hg 3.27
Hg 0.3333 0.6667 0.7500 (multiplicity 2)  6 Sr 3.27
Ir 0.0000 0.0000 0.0000 (multiplicity 2)  6 Sr 2.94

Density of states at the Fermi level (states/eV/atom): 0.64
M_tot (Bohr magnetons per cell): 0.0
Calculated formation energy (meV per atom): -236